Entry 1:
A plane-wave DFT calculation with GGA-PBE was carried out for a geometry-optimized CsInSi3 structure.

Output
The calculation puts the electronic total energy at -9.606 eV for the cell shown. The value obtained for the formation energy (no corrections) is 197.9 kJ/mol of atoms.

Cell lengths 5.665, 5.665, 5.665 Å; angles 90.00, 90.00, 90.00 degrees
Space group Pm-3m (No. 221)
Symmetry-distinct sites (fractional):
Cs: 0.000 0.000 0.000 [1 per cell]
In: 0.500 0.500 0.500 [1 per cell]
Si: 0.000 0.000 0.500 [3 per cell]

Entry 2:
A plane-wave DFT calculation with GGA-PBE was carried out for a geometry-optimized Li2Ce3As4Se2 structure.

Output
The calculation puts the electronic total energy at -118.013 eV for the cell shown. The value obtained for the formation energy (no corrections) is -103.6 kJ/mol of atoms.

Cell lengths 4.349, 4.349, 25.980 Å; angles 90.00, 90.00, 90.00 degrees
Space group I4/mmm (No. 139)
Symmetry-distinct sites (fractional):
Li: 0.000 0.000 0.123 [4 per cell]
Ce: 0.000 0.000 0.329 [4 per cell]
Ce: 0.000 0.000 0.500 [2 per cell]
As: 0.000 0.500 0.080 [8 per cell]
Se: 0.000 0.000 0.211 [4 per cell]

Entry 3:
A plane-wave DFT calculation with GGA-PBE was carried out for a geometry-optimized RbAc2NpO8 structure.

Output
The calculation puts the electronic total energy at -93.136 eV for the cell shown. The value obtained for the formation energy (no corrections) is -252.0 kJ/mol of atoms.

Cell lengths 4.309, 8.751, 5.572 Å; angles 90.00, 97.54, 90.00 degrees
Space group P2/m (No. 10)
Symmetry-distinct sites (fractional):
Rb: 0.000 0.000 0.000 [1 per cell]
Ac: 0.500 0.279 0.500 [2 per cell]
Np: 0.000 0.500 0.000 [1 per cell]
O: 0.052 0.320 0.770 [4 per cell]
O: 0.424 0.500 0.218 [2 per cell]
O: 0.442 0.000 0.623 [2 per cell]